Entry A
ScIr4 | PBE-GGA | optimized geometry

abc: 4.580 4.580 4.580
angles: 90.00 90.00 90.00
Space group Pm-3m (No. 221)
Unique sites:
Sc1 0.000 0.000 0.000 [1 per cell]
Ir1 0.000 0.000 0.500 [3 per cell]
Ir2 0.500 0.500 0.500 [1 per cell]

- Density: 14.06 g cm⁻³

Entry B
ScIr4 | PBE-GGA | optimized geometry

abc: 3.747 3.747 12.254
angles: 90.00 90.00 90.00
Space group I4/mmm (No. 139)
Unique sites:
Sc1 0.000 0.000 0.000 [2 per cell]
Ir1 0.000 0.000 0.402 [4 per cell]
Ir2 0.000 0.500 0.250 [4 per cell]

- Density: 15.71 g cm⁻³

Entry C
ScIr4 | PBE-GGA | optimized geometry

abc: 5.706 5.706 5.706
angles: 90.00 90.00 90.00
Space group Im-3m (No. 229)
Unique sites:
Sc1 0.000 0.000 0.000 [2 per cell]
Ir1 0.250 0.250 0.250 [8 per cell]

- Density: 14.55 g cm⁻³

List of relative energies, unit eV/atom: entry A 2.035; entry B 0.000; entry C 1.167

Entry A
ScIr4 | PBE-GGA | optimized geometry

abc: 8.864 8.864 8.864
angles: 90.00 90.00 90.00
Space group I-43m (No. 217)
Unique sites:
Sc1 0.225 0.225 0.775 [8 per cell]
Ir1 0.000 0.000 0.352 [12 per cell]
Ir2 0.000 0.250 0.500 [12 per cell]
Ir3 0.104 0.104 0.104 [8 per cell]

- Density: 15.52 g cm⁻³

Entry B
ScIr4 | PBE-GGA | optimized geometry

abc: 6.234 6.234 3.936
angles: 90.00 90.00 90.00
Space group I4/m (No. 87)
Unique sites:
Sc1 0.000 0.000 0.000 [2 per cell]
Ir1 0.100 0.310 0.500 [8 per cell]

- Density: 17.67 g cm⁻³

List of relative energies, unit eV/atom: entry A 0.308; entry B 0.000

Entry A
ScIrSe3 | PBE-GGA | optimized geometry

abc: 4.895 4.895 4.895
angles: 90.00 90.00 90.00
Space group Pm-3m (No. 221)
Unique sites:
Sc1 0.000 0.000 0.000 [1 per cell]
Ir1 0.500 0.500 0.500 [1 per cell]
Se1 0.000 0.500 0.500 [3 per cell]

- Density: 6.71 g cm⁻³

Entry B
ScIrSe3 | PBE-GGA | optimized geometry

abc: 5.033 5.033 5.033
angles: 90.00 90.00 90.00
Space group Pm-3m (No. 221)
Unique sites:
Sc1 0.000 0.000 0.000 [1 per cell]
Ir1 0.500 0.500 0.500 [1 per cell]
Se1 0.000 0.000 0.500 [3 per cell]

- Density: 6.17 g cm⁻³

List of relative energies, unit eV/atom: entry A 0.000; entry B 0.553

Entry A
Sc3SiIr | PBE-GGA | optimized geometry

abc: 4.860 4.860 4.860
angles: 90.00 90.00 90.00
Space group Pm-3m (No. 221)
Unique sites:
Sc1 0.000 0.000 0.500 [3 per cell]
Si1 0.000 0.000 0.000 [1 per cell]
Ir1 0.500 0.500 0.500 [1 per cell]

- Density: 5.14 g cm⁻³

Entry B
Sc3SiIr | PBE-GGA | optimized geometry

abc: 4.962 4.962 4.962
angles: 90.00 90.00 90.00
Space group Pm-3m (No. 221)
Unique sites:
Sc1 0.000 0.000 0.500 [3 per cell]
Si1 0.500 0.500 0.500 [1 per cell]
Ir1 0.000 0.000 0.000 [1 per cell]

- Density: 4.83 g cm⁻³

List of relative energies, unit eV/atom: entry A 0.340; entry B 0.000

Entry A
Sc3Si3Ir | PBE-GGA | optimized geometry

abc: 11.651 4.037 10.207
angles: 90.00 90.00 90.00
Space group Pnma (No. 62)
Unique sites:
Sc1 0.020 0.250 0.123 [4 per cell]
Sc2 0.102 0.250 0.420 [4 per cell]
Sc3 0.200 0.750 0.658 [4 per cell]
Si1 0.045 0.250 0.693 [4 per cell]
Si2 0.158 0.750 0.249 [4 per cell]
Si3 0.178 0.750 0.014 [4 per cell]
Ir1 0.177 0.250 0.889 [4 per cell]

- Density: 5.69 g cm⁻³

Entry B
Sc3Si3Ir | PBE-GGA | optimized geometry

abc: 10.063 4.047 12.832
angles: 90.00 110.50 90.00
Space group C2/m (No. 12)
Unique sites:
Sc1 0.018 0.000 0.373 [4 per cell]
Sc2 0.102 0.000 0.922 [4 per cell]
Sc3 0.239 0.000 0.225 [4 per cell]
Si1 0.037 0.500 0.235 [4 per cell]
Si2 0.117 0.500 0.074 [4 per cell]
Si3 0.126 0.500 0.548 [4 per cell]
Ir1 0.244 0.500 0.411 [4 per cell]

- Density: 5.58 g cm⁻³

List of relative energies, unit eV/atom: entry A 0.000; entry B 0.034

Entry A
SmSc2Ir | PBE-GGA | optimized geometry

abc: 4.4624 4.4624 16.8663
angles: 90.00 90.00 120.00
Space group R-3m (No. 166, hexagonal axes)
Unique sites:
Sm1 0.0000 0.0000 0.0000 [3 per cell]
Sc1 0.0000 0.0000 0.2135 [6 per cell]
Ir1 0.0000 0.0000 0.5000 [3 per cell]

- Density: 7.41 g cm⁻³

Entry B
SmSc2Ir | PBE-GGA | optimized geometry

abc: 7.126 8.714 6.123
angles: 90.00 90.00 90.00
Space group Pnma (No. 62)
Unique sites:
Sm1 0.031 0.250 0.124 [4 per cell]
Sc1 0.174 0.062 0.658 [8 per cell]
Ir1 0.118 0.750 0.421 [4 per cell]

- Density: 7.56 g cm⁻³

List of relative energies, unit eV/atom: entry A 0.245; entry B 0.000

Entry A
SmSc2Ir | PBE-GGA | optimized geometry

abc: 4.455 11.602 7.382
angles: 90.00 90.00 90.00
Space group Cmcm (No. 63)
Unique sites:
Sm1 0.000 0.053 0.250 [4 per cell]
Sc1 0.000 0.342 0.044 [8 per cell]
Ir1 0.000 0.196 0.750 [4 per cell]

- Density: 7.53 g cm⁻³

Entry B
SmSc2Ir | PBE-GGA | optimized geometry

abc: 4.4580 4.4580 17.5730
angles: 90.00 90.00 120.00
Space group R3m (No. 160, hexagonal axes)
Unique sites:
Sm1 0.0000 0.0000 0.0000 [3 per cell]
Sc1 0.0000 0.0000 0.5506 [3 per cell]
Sc2 0.0000 0.0000 0.7885 [3 per cell]
Ir1 0.0000 0.0000 0.1741 [3 per cell]

- Density: 7.12 g cm⁻³

List of relative energies, unit eV/atom: entry A 0.000; entry B 0.123

Entry A
SmScIr | PBE-GGA | optimized geometry

abc: 3.316 3.316 12.668
angles: 90.00 90.00 90.00
Space group I4mm (No. 107)
Unique sites:
Sm1 0.000 0.000 0.000 [2 per cell]
Sc1 0.000 0.000 0.267 [2 per cell]
Ir1 0.000 0.000 0.653 [2 per cell]

- Density: 9.24 g cm⁻³

Entry B
SmScIr | PBE-GGA | optimized geometry

abc: 6.324 6.257 7.028
angles: 90.00 92.09 90.00
Space group C2/m (No. 12)
Unique sites:
Sm1 0.244 0.000 0.366 [4 per cell]
Sc1 0.000 0.253 0.000 [4 per cell]
Ir1 0.231 0.000 0.772 [4 per cell]

- Density: 9.26 g cm⁻³

List of relative energies, unit eV/atom: entry A 0.169; entry B 0.000